# CaInBi2 | Alexandria | PBE | optimized geometry
# ΔH_f (0 K) = -250.0 meV/atom
# calculated density = 7.36 g/cm³
# DOS(E_F) = 4.2 states/eV/f.u.
data_CaInBi2
_chemical_formula_sum 'Ca4 In4 Bi8'
_cell_length_a 8.692
_cell_length_b 8.692
_cell_length_c 6.845
_cell_angle_alpha 90.00
_cell_angle_beta 90.00
_cell_angle_gamma 90.00
_space_group_name_H-M_alt 'I -4 2 d'
_space_group_IT_number 122
_space_group_name_Hall 'I -4 2bw'
loop_
_atom_site_label
_atom_site_fract_x
_atom_site_fract_y
_atom_site_fract_z
_atom_site_occupancy
Ca1 0.000 0.000 0.000 1
In1 0.000 0.000 0.500 1
Bi1 0.231 0.250 0.625 1